#a
# GeSb2IBr (PBE, optimized geometry)
data_GeSb2IBr
_symmetry_space_group_name_H-M 'P 4/m m m'
_symmetry_Int_Tables_number 123
_symmetry_space_group_name_Hall '-P 4 2'
_cell_length_a 5.629
_cell_length_b 5.629
_cell_length_c 5.603
_cell_angle_alpha 90.00
_cell_angle_beta 90.00
_cell_angle_gamma 90.00
loop_
_atom_site_label
_atom_site_type_symbol
_atom_site_fract_x
_atom_site_fract_y
_atom_site_fract_z
Ge1 Ge 0.000 0.000 0.000
Sb1 Sb 0.000 0.500 0.500
I1 I 0.500 0.500 0.000
Br1 Br 0.500 0.500 0.500
# crystal system: tetragonal


#b
# GeSb2IBr (PBE, optimized geometry)
data_GeSb2IBr
_symmetry_space_group_name_H-M 'P 4/m m m'
_symmetry_Int_Tables_number 123
_symmetry_space_group_name_Hall '-P 4 2'
_cell_length_a 5.503
_cell_length_b 5.503
_cell_length_c 5.589
_cell_angle_alpha 90.00
_cell_angle_beta 90.00
_cell_angle_gamma 90.00
loop_
_atom_site_label
_atom_site_type_symbol
_atom_site_fract_x
_atom_site_fract_y
_atom_site_fract_z
Ge1 Ge 0.000 0.000 0.000
Sb1 Sb 0.000 0.500 0.000
I1 I 0.000 0.000 0.500
Br1 Br 0.500 0.500 0.500
# crystal system: tetragonal


Stability verdict: #b, ahead by 538 meV per atom


#a
# TcOs2W (PBE, optimized geometry)
data_TcOs2W
_symmetry_space_group_name_H-M 'P m m m'
_symmetry_Int_Tables_number 47
_cell_length_a 2.950
_cell_length_b 4.518
_cell_length_c 4.521
_cell_angle_alpha 90.00
_cell_angle_beta 90.00
_cell_angle_gamma 90.00
loop_
_symmetry_equiv_pos_as_xyz
'x,y,z'
'-x,-y,-z'
'-x,-y,z'
'x,y,-z'
'x,-y,-z'
'-x,y,z'
'-x,y,-z'
'x,-y,z'
loop_
_atom_site_label
_atom_site_type_symbol
_atom_site_fract_x
_atom_site_fract_y
_atom_site_fract_z
Tc1 Tc 0.000 0.000 0.000
Os1 Os 0.000 0.500 0.500
Os2 Os 0.500 0.500 0.000
W1 W 0.500 0.000 0.500
# crystal system: orthorhombic


#b
# TcOs2W (PBE, optimized geometry)
data_TcOs2W
_symmetry_space_group_name_H-M 'R 3 m'
_symmetry_Int_Tables_number 160
_symmetry_space_group_name_Hall 'R 3 -2"'
_cell_length_a 2.7536
_cell_length_b 2.7536
_cell_length_c 27.3061
_cell_angle_alpha 90.00
_cell_angle_beta 90.00
_cell_angle_gamma 120.00
loop_
_atom_site_label
_atom_site_type_symbol
_atom_site_fract_x
_atom_site_fract_y
_atom_site_fract_z
Tc1 Tc 0.0000 0.0000 0.0000
Os1 Os 0.0000 0.0000 0.4958
Os2 Os 0.0000 0.0000 0.7453
W1 W 0.0000 0.0000 0.2451
# crystal system: trigonal


Stability verdict: #b, ahead by 268 meV per atom